# 1
Ba7Sr12Mg | PBE-GGA | relaxed

Values from the calculation:
Volume: 1621.94 Å³/cell
Theoretical density: 2.09 g/cm3
Energy of formation: 513 meV per atom

abc: 12.820 12.820 12.820
angles: 109.47 109.47 109.47
Fractional coordinates of all 20 atoms:
1 Sr 0.744 0.385 0.641
2 Ba 0.500 0.000 0.500
3 Sr 0.359 0.744 0.103
4 Ba 0.000 0.500 0.000
5 Sr 0.359 0.256 0.615
6 Ba 0.500 0.000 0.000
7 Sr 0.744 0.103 0.359
8 Ba 0.000 0.000 0.500
9 Ba 0.000 0.500 0.500
10 Sr 0.256 0.615 0.359
11 Mg 0.000 0.000 0.000
12 Sr 0.897 0.641 0.256
13 Sr 0.641 0.256 0.897
14 Sr 0.256 0.897 0.641
15 Sr 0.615 0.359 0.256
16 Sr 0.385 0.641 0.744
17 Sr 0.103 0.359 0.744
18 Sr 0.641 0.744 0.385
19 Ba 0.500 0.500 0.500
20 Ba 0.500 0.500 0.000

***

# 2
Ba2SrMg2 | PBE-GGA | relaxed

Values from the calculation:
Volume: 224.31 Å³/cell
Theoretical density: 3.04 g/cm3
Energy of formation: -12 meV per atom
Energy above the most stable polymorph in this dataset: 0.000 eV/atom

abc: 4.162 4.336 12.618
angles: 80.11 90.00 90.00
Fractional coordinates of all 5 atoms:
1 Sr 0.000 0.000 0.000
2 Ba 0.000 0.829 0.342
3 Ba 0.000 0.171 0.658
4 Mg 0.500 0.581 0.837
5 Mg 0.500 0.419 0.163

***

# 3
Ba3Sr9Mg | PBE-GGA | relaxed

Values from the calculation:
Volume: 1455.12 Å³/cell
Theoretical density: 2.80 g/cm3
Energy of formation: 60 meV per atom

abc: 12.894 12.894 16.767
angles: 58.85 58.85 38.62
Fractional coordinates of all 26 atoms:
1 Sr 0.061 0.724 0.931
2 Sr 0.724 0.061 0.431
3 Sr 0.833 0.616 0.713
4 Sr 0.616 0.833 0.213
5 Sr 0.183 0.527 0.456
6 Ba 0.065 0.681 0.196
7 Mg 0.380 0.949 0.098
8 Ba 0.346 0.065 0.665
9 Sr 0.903 0.185 0.901
10 Sr 0.185 0.903 0.401
11 Sr 0.687 0.759 0.452
12 Mg 0.949 0.380 0.598
13 Sr 0.208 0.221 0.397
14 Sr 0.221 0.208 0.897
15 Ba 0.540 0.534 0.720
16 Sr 0.759 0.687 0.952
17 Sr 0.411 0.707 0.955
18 Sr 0.014 0.057 0.160
19 Sr 0.707 0.411 0.455
20 Sr 0.206 0.574 0.679
21 Ba 0.065 0.346 0.165
22 Sr 0.057 0.014 0.660
23 Ba 0.681 0.065 0.696
24 Ba 0.534 0.540 0.220
25 Sr 0.527 0.183 0.956
26 Sr 0.574 0.206 0.179

***

# 4
Ba2SrMg | PBE-GGA | relaxed

Values from the calculation:
Volume: 197.14 Å³/cell
Theoretical density: 3.26 g/cm3
Energy of formation: 43 meV per atom

abc: 7.687 7.687 6.484
angles: 65.02 65.02 35.02
Fractional coordinates of all 4 atoms:
1 Ba 0.032 0.032 0.969
2 Mg 0.750 0.750 0.750
3 Ba 0.468 0.468 0.531
4 Sr 0.250 0.250 0.250

***

# 5
BaSr2Mg3 | PBE-GGA | relaxed

Values from the calculation:
Volume: 228.71 Å³/cell
Theoretical density: 2.80 g/cm3
Energy of formation: -56 meV per atom

abc: 4.241 4.241 12.715
angles: 90.00 90.00 90.00
Fractional coordinates of all 6 atoms:
1 Mg 0.000 0.000 0.000
2 Sr 0.500 0.500 0.840
3 Mg 0.000 0.000 0.321
4 Ba 0.500 0.500 0.500
5 Mg 0.000 0.000 0.679
6 Sr 0.500 0.500 0.160

***

# 6
BaSr2Mg2 | PBE-GGA | relaxed

Values from the calculation:
Volume: 410.85 Å³/cell
Theoretical density: 2.92 g/cm3
Energy of formation: 3 meV per atom
Energy above the most stable polymorph in this dataset: 0.025 eV/atom

abc: 10.200 10.200 3.949
angles: 90.00 90.00 90.00
Fractional coordinates of all 10 atoms:
1 Mg 0.163 0.663 0.500
2 Mg 0.337 0.163 0.500
3 Sr 0.632 0.132 0.000
4 Sr 0.132 0.368 0.000
5 Ba 0.500 0.500 0.000
6 Ba 0.000 0.000 0.000
7 Sr 0.868 0.632 0.000
8 Sr 0.368 0.868 0.000
9 Mg 0.837 0.337 0.500
10 Mg 0.663 0.837 0.500

***

# 7
Ba6Sr3Mg | PBE-GGA | relaxed

Values from the calculation:
Volume: 1124.93 Å³/cell
Theoretical density: 3.28 g/cm3
Energy of formation: 14 meV per atom
Energy above the most stable polymorph in this dataset: 0.000 eV/atom

abc: 6.520 12.445 14.030
angles: 98.81 90.00 90.00
Fractional coordinates of all 20 atoms:
1 Ba 0.250 0.877 0.336
2 Sr 0.750 0.457 0.598
3 Ba 0.250 0.049 0.882
4 Ba 0.250 0.208 0.486
5 Mg 0.250 0.949 0.619
6 Ba 0.250 0.142 0.186
7 Ba 0.750 0.123 0.664
8 Ba 0.750 0.556 0.905
9 Ba 0.750 0.951 0.118
10 Ba 0.250 0.675 0.701
11 Sr 0.750 0.241 0.983
12 Sr 0.250 0.353 0.784
13 Ba 0.250 0.444 0.095
14 Ba 0.750 0.858 0.814
15 Sr 0.250 0.759 0.017
16 Ba 0.750 0.792 0.514
17 Sr 0.750 0.647 0.216
18 Ba 0.750 0.325 0.299
19 Sr 0.250 0.543 0.402
20 Mg 0.750 0.051 0.381

***

# 8
Ba2SrMg2 | PBE-GGA | relaxed

Values from the calculation:
Volume: 433.17 Å³/cell
Theoretical density: 3.15 g/cm3
Energy of formation: 45 meV per atom
Energy above the most stable polymorph in this dataset: 0.057 eV/atom

abc: 10.374 10.374 4.025
angles: 90.00 90.00 90.00
Fractional coordinates of all 10 atoms:
1 Mg 0.163 0.663 0.500
2 Ba 0.133 0.367 0.000
3 Ba 0.633 0.133 0.000
4 Sr 0.500 0.500 0.000
5 Ba 0.867 0.633 0.000
6 Mg 0.337 0.163 0.500
7 Sr 0.000 0.000 0.000
8 Mg 0.837 0.337 0.500
9 Mg 0.663 0.837 0.500
10 Ba 0.367 0.867 0.000

***

Q: Number 2 is which compound?
A: Ba2SrMg2